Entry 1:
First-principles (PBE) data for a geometry-optimized Ho3Er2Tl2 structure, as listed in the Alexandria database.

```
data_Ho3Er2Tl2
_cell_length_a 5.3681
_cell_length_b 5.3681
_cell_length_c 23.9440
_cell_angle_alpha 90.00
_cell_angle_beta 90.00
_cell_angle_gamma 120.00
_symmetry_space_group_name_H-M 'R -3 m'
_symmetry_Int_Tables_number 166
_symmetry_space_group_name_Hall '-R 3 2"'
loop_
_atom_site_label
_atom_site_type_symbol
_atom_site_fract_x
_atom_site_fract_y
_atom_site_fract_z
Ho1 Ho 0.0000 0.0000 0.0000
Ho2 Ho 0.0000 0.0000 0.1542
Er1 Er 0.0000 0.0000 0.4261
Tl1 Tl 0.0000 0.0000 0.2839
```

## Properties
* offset from the most stable computed form: 0.000 eV/atom
* magnetic moment: 0.00 μB per cell


Entry 2:
First-principles (PBE) data for a geometry-optimized HoEr4Tl2 structure, as listed in the Alexandria database.

```
data_HoEr4Tl2
_cell_length_a 6.804
_cell_length_b 11.874
_cell_length_c 10.540
_cell_angle_alpha 90.00
_cell_angle_beta 90.00
_cell_angle_gamma 90.00
_symmetry_space_group_name_H-M 'C m c e'
_symmetry_Int_Tables_number 64
_symmetry_space_group_name_Hall '-C 2ac 2'
loop_
_atom_site_label
_atom_site_type_symbol
_atom_site_fract_x
_atom_site_fract_y
_atom_site_fract_z
Ho1 Ho 0.000 0.000 0.000
Er1 Er 0.000 0.049 0.329
Er2 Er 0.250 0.190 0.750
Tl1 Tl 0.000 0.241 0.517
```

## Properties
* offset from the most stable computed form: 0.000 eV/atom
* magnetic moment: 0.00 μB per cell


Entry 3:
First-principles (PBE) data for a geometry-optimized Ho5Er4Tl4 structure, as listed in the Alexandria database.

```
data_Ho5Er4Tl4
_cell_length_a 12.175
_cell_length_b 12.175
_cell_length_c 5.045
_cell_angle_alpha 90.00
_cell_angle_beta 90.00
_cell_angle_gamma 90.00
_symmetry_space_group_name_H-M 'I 4/m'
_symmetry_Int_Tables_number 87
_symmetry_space_group_name_Hall '-I 4'
loop_
_atom_site_label
_atom_site_type_symbol
_atom_site_fract_x
_atom_site_fract_y
_atom_site_fract_z
Ho1 Ho 0.000 0.000 0.000
Ho2 Ho 0.100 0.186 0.500
Er1 Er 0.096 0.396 0.000
Tl1 Tl 0.105 0.765 0.000
```

## Properties
* magnetic moment: 0.00 μB per cell


Entry 4:
First-principles (PBE) data for a geometry-optimized Ho5Er2Tl structure, as listed in the Alexandria database.

```
data_Ho5Er2Tl
_cell_length_a 3.403
_cell_length_b 11.050
_cell_length_c 12.768
_cell_angle_alpha 90.00
_cell_angle_beta 90.00
_cell_angle_gamma 90.00
_symmetry_space_group_name_H-M 'I m m m'
_symmetry_Int_Tables_number 71
_symmetry_space_group_name_Hall '-I 2 2'
loop_
_atom_site_label
_atom_site_type_symbol
_atom_site_fract_x
_atom_site_fract_y
_atom_site_fract_z
Ho1 Ho 0.000 0.000 0.000
Ho2 Ho 0.000 0.269 0.368
Er1 Er 0.000 0.000 0.268
Tl1 Tl 0.000 0.500 0.000
```

## Properties
* offset from the most stable computed form: 0.067 eV/atom
* magnetic moment: 0.00 μB per cell


Entry 5:
First-principles (PBE) data for a geometry-optimized HoEr3Tl4 structure, as listed in the Alexandria database.

```
data_HoEr3Tl4
_cell_length_a 3.767
_cell_length_b 3.767
_cell_length_c 15.050
_cell_angle_alpha 90.00
_cell_angle_beta 90.00
_cell_angle_gamma 90.00
_symmetry_space_group_name_H-M 'P 4/m m m'
_symmetry_Int_Tables_number 123
_symmetry_space_group_name_Hall '-P 4 2'
loop_
_atom_site_label
_atom_site_type_symbol
_atom_site_fract_x
_atom_site_fract_y
_atom_site_fract_z
Ho1 Ho 0.000 0.000 0.000
Er1 Er 0.000 0.000 0.251
Er2 Er 0.000 0.000 0.500
Tl1 Tl 0.500 0.500 0.126
Tl2 Tl 0.500 0.500 0.375
```

## Properties
* offset from the most stable computed form: 0.000 eV/atom
* magnetic moment: 0.00 μB per cell


Entry 6:
First-principles (PBE) data for a geometry-optimized Ho6Er8Tl structure, as listed in the Alexandria database.

```
data_Ho6Er8Tl
_cell_length_a 9.1133
_cell_length_b 9.1133
_cell_length_c 6.6686
_cell_angle_alpha 90.00
_cell_angle_beta 90.00
_cell_angle_gamma 120.00
_symmetry_space_group_name_H-M 'P -3'
_symmetry_Int_Tables_number 147
_symmetry_space_group_name_Hall '-P 3'
loop_
_atom_site_label
_atom_site_type_symbol
_atom_site_fract_x
_atom_site_fract_y
_atom_site_fract_z
Ho1 Ho 0.0810 0.3983 0.1009
Er1 Er 0.0189 0.6846 0.3927
Er2 Er 0.3333 0.6667 0.6888
Tl1 Tl 0.0000 0.0000 0.0000
```

## Properties
* magnetic moment: 0.00 μB per cell


Number 1: theoretical density 10.3 Mg/m³, energy of formation from the pure elements -130 kJ/mol of formula units. Number 2: theoretical density 9.7 Mg/m³, energy of formation from the pure elements -48 kJ/mol of formula units. Number 3: theoretical density 10.3 Mg/m³, energy of formation from the pure elements -311 kJ/mol of formula units. Number 4: theoretical density 9.4 Mg/m³, energy of formation from the pure elements -2 kJ/mol of formula units. Number 5: theoretical density 11.5 Mg/m³, energy of formation from the pure elements -244 kJ/mol of formula units. Number 6: theoretical density 8.8 Mg/m³, energy of formation from the pure elements 307 kJ/mol of formula units.